Record 1
The following is a PBE calculation of a relaxed structure of HfGaHRu2, from Alexandria.

Unit cell a=4.1105 b=4.1105 c=3.8361 alpha=90.00 beta=90.00 gamma=90.00
Element x y z (fractional)
Hf 0.0000 0.0000 0.0000
Ga 0.5000 0.5000 0.0000
H 0.0000 0.0000 0.5000
Ru 0.0000 0.5000 0.5000
Ru 0.5000 0.0000 0.5000

Summary:
calculated volume	64.8	Å³/f.u.

=====

Record 2
The following is a PBE calculation of a relaxed structure of Hf2GaHRu, from Alexandria.

Unit cell a=4.4295 b=4.4295 c=3.7389 alpha=90.00 beta=90.00 gamma=90.00
Element x y z (fractional)
Hf 0.0000 0.5000 0.0000
Hf 0.5000 0.0000 0.0000
Ga 0.0000 0.0000 0.5000
H 0.5000 0.5000 0.0000
Ru 0.5000 0.5000 0.5000

Summary:
calculated volume	73.4	Å³/f.u.

=====

Record 3
The following is a PBE calculation of a relaxed structure of Hf2ScGaH, from Alexandria.

Unit cell a=4.3369 b=4.3369 c=4.3490 alpha=90.00 beta=90.00 gamma=90.00
Element x y z (fractional)
Hf 0.0000 0.5000 0.0000
Hf 0.5000 0.0000 0.0000
Sc 0.0000 0.0000 0.5000
Ga 0.5000 0.5000 0.5000
H 0.0000 0.0000 0.0000

Summary:
calculated volume	81.8	Å³/f.u.

=====

Record 4
The following is a PBE calculation of a relaxed structure of SrHfGaH2, from Alexandria.

Unit cell a=4.4470 b=4.4470 c=5.3792 alpha=90.00 beta=90.00 gamma=90.00
Element x y z (fractional)
Sr 0.0000 0.0000 0.0000
Hf 0.5000 0.5000 0.0000
Ga 0.5000 0.5000 0.5000
H 0.0000 0.5000 0.5000
H 0.5000 0.0000 0.5000

Summary:
calculated volume	106.4	Å³/f.u.

=====

Record 5
The following is a PBE calculation of a relaxed structure of Sr2HfGaH, from Alexandria.

Unit cell a=6.3823 b=6.3823 c=3.6948 alpha=90.00 beta=90.00 gamma=90.00
Element x y z (fractional)
Sr 0.0000 0.5000 0.0000
Sr 0.5000 0.0000 0.0000
Hf 0.0000 0.0000 0.0000
Ga 0.5000 0.5000 0.5000
H 0.0000 0.0000 0.5000

Summary:
calculated volume	150.5	Å³/f.u.

=====

Record 6
The following is a PBE calculation of a relaxed structure of HfTa2GaH, from Alexandria.

Unit cell a=4.0548 b=4.0548 c=4.5673 alpha=90.00 beta=90.00 gamma=90.00
Element x y z (fractional)
Hf 0.0000 0.0000 0.0000
Ta 0.0000 0.5000 0.5000
Ta 0.5000 0.0000 0.5000
Ga 0.5000 0.5000 0.0000
H 0.0000 0.0000 0.5000

Summary:
calculated volume	75.1	Å³/f.u.

=====

Record 7
The following is a PBE calculation of a relaxed structure of Hf2TaGaH, from Alexandria.

Unit cell a=4.4730 b=4.4730 c=3.9231 alpha=90.00 beta=90.00 gamma=90.00
Element x y z (fractional)
Hf 0.0000 0.5000 0.0000
Hf 0.5000 0.0000 0.0000
Ta 0.0000 0.0000 0.5000
Ga 0.5000 0.5000 0.5000
H 0.0000 0.0000 0.0000

Summary:
calculated volume	78.5	Å³/f.u.

=====

Record 8
The following is a PBE calculation of a relaxed structure of HfGaTc2H, from Alexandria.

Unit cell a=4.0737 b=4.0737 c=3.9936 alpha=90.00 beta=90.00 gamma=90.00
Element x y z (fractional)
Hf 0.0000 0.0000 0.0000
Ga 0.5000 0.5000 0.0000
Tc 0.0000 0.5000 0.5000
Tc 0.5000 0.0000 0.5000
H 0.0000 0.0000 0.5000

Summary:
calculated volume	66.3	Å³/f.u.

=====

Record 9
The following is a PBE calculation of a relaxed structure of HfTi2GaH, from Alexandria.

Unit cell a=4.1081 b=4.1081 c=4.2356 alpha=90.00 beta=90.00 gamma=90.00
Element x y z (fractional)
Hf 0.0000 0.0000 0.0000
Ti 0.0000 0.5000 0.5000
Ti 0.5000 0.0000 0.5000
Ga 0.5000 0.5000 0.0000
H 0.0000 0.0000 0.5000

Summary:
calculated volume	71.5	Å³/f.u.

=====

Record 10
The following is a PBE calculation of a relaxed structure of HfTi2GaH, from Alexandria.

Unit cell a=3.9660 b=3.9660 c=4.6566 alpha=90.00 beta=90.00 gamma=90.00
Element x y z (fractional)
Hf 0.0000 0.0000 0.0000
Ti 0.0000 0.5000 0.5000
Ti 0.5000 0.0000 0.5000
Ga 0.5000 0.5000 0.0000
H 0.5000 0.5000 0.5000

Summary:
calculated volume	73.2	Å³/f.u.

=====

Record 11
The following is a PBE calculation of a relaxed structure of Hf2TiGaH, from Alexandria.

Unit cell a=4.3178 b=4.3178 c=4.1078 alpha=90.00 beta=90.00 gamma=90.00
Element x y z (fractional)
Hf 0.0000 0.5000 0.0000
Hf 0.5000 0.0000 0.0000
Ti 0.0000 0.0000 0.5000
Ga 0.5000 0.5000 0.5000
H 0.0000 0.0000 0.0000

Summary:
calculated volume	76.6	Å³/f.u.

=====

Record 12
The following is a PBE calculation of a relaxed structure of HfV2GaH, from Alexandria.

Unit cell a=3.8689 b=3.8689 c=4.3590 alpha=90.00 beta=90.00 gamma=90.00
Element x y z (fractional)
Hf 0.0000 0.0000 0.0000
V 0.0000 0.5000 0.5000
V 0.5000 0.0000 0.5000
Ga 0.5000 0.5000 0.0000
H 0.0000 0.0000 0.5000

Summary:
calculated volume	65.2	Å³/f.u.

=====

Record 13
The following is a PBE calculation of a relaxed structure of Hf2VGaH, from Alexandria.

Unit cell a=4.4376 b=4.4376 c=3.7416 alpha=90.00 beta=90.00 gamma=90.00
Element x y z (fractional)
Hf 0.0000 0.5000 0.0000
Hf 0.5000 0.0000 0.0000
V 0.0000 0.0000 0.5000
Ga 0.5000 0.5000 0.5000
H 0.0000 0.0000 0.0000

Summary:
calculated volume	73.7	Å³/f.u.

=====

Record 14
The following is a PBE calculation of a relaxed structure of YHf2GaH, from Alexandria.

Unit cell a=5.5667 b=5.5667 c=3.5398 alpha=90.00 beta=90.00 gamma=90.00
Element x y z (fractional)
Y 0.0000 0.0000 0.0000
Hf 0.0000 0.5000 0.0000
Hf 0.5000 0.0000 0.0000
Ga 0.5000 0.5000 0.5000
H 0.0000 0.0000 0.5000

Summary:
calculated volume	109.7	Å³/f.u.

=====

Record 15
The following is a PBE calculation of a relaxed structure of Ga3HgH, from Alexandria.

Unit cell a=5.2806 b=5.2806 c=5.2806 alpha=90.00 beta=90.00 gamma=90.00
Element x y z (fractional)
Ga 0.0000 0.0000 0.5000
Ga 0.0000 0.5000 0.0000
Ga 0.5000 0.0000 0.0000
Hg 0.0000 0.0000 0.0000
H 0.5000 0.5000 0.5000

Summary:
calculated volume	147.3	Å³/f.u.

=====

Record 16
The following is a PBE calculation of a relaxed structure of GaHg4H4, from Alexandria.

Unit cell a=6.0017 b=6.0017 c=6.0017 alpha=102.26 beta=102.26 gamma=125.12
Element x y z (fractional)
Ga 0.0000 0.0000 0.0000
Hg 0.2137 0.4421 0.6558
Hg 0.4421 0.7863 0.2284
Hg 0.5579 0.2137 0.7716
Hg 0.7863 0.5579 0.3442
H 0.0733 0.2106 0.2839
H 0.2106 0.9267 0.1373
H 0.7894 0.0733 0.8627
H 0.9267 0.7894 0.7161

Summary:
calculated volume	156.9	Å³/f.u.

=====

Record 17
The following is a PBE calculation of a relaxed structure of GaHg3H, from Alexandria.

Unit cell a=4.7095 b=4.7095 c=4.7095 alpha=90.00 beta=90.00 gamma=90.00
Element x y z (fractional)
Ga 0.0000 0.0000 0.0000
Hg 0.0000 0.5000 0.5000
Hg 0.5000 0.0000 0.5000
Hg 0.5000 0.5000 0.0000
H 0.5000 0.5000 0.5000

Summary:
calculated volume	104.5	Å³/f.u.

=====

Record 18
The following is a PBE calculation of a relaxed structure of Ga2Hg2H, from Alexandria.

Unit cell a=5.9405 b=5.9405 c=5.6055 alpha=90.00 beta=90.00 gamma=90.00
Element x y z (fractional)
Ga 0.1750 0.3250 0.0000
Ga 0.3250 0.8250 0.0000
Ga 0.6750 0.1750 0.0000
Ga 0.8250 0.6750 0.0000
Hg 0.1934 0.3066 0.5000
Hg 0.3066 0.8066 0.5000
Hg 0.6934 0.1934 0.5000
Hg 0.8066 0.6934 0.5000
H 0.0000 0.0000 0.0000
H 0.5000 0.5000 0.0000

Summary:
calculated volume	98.9	Å³/f.u.

=====

Record 19
The following is a PBE calculation of a relaxed structure of GaHgH3, from Alexandria.

Unit cell a=4.0045 b=4.0045 c=4.0045 alpha=90.00 beta=90.00 gamma=90.00
Element x y z (fractional)
Ga 0.0000 0.0000 0.0000
Hg 0.5000 0.5000 0.5000
H 0.0000 0.5000 0.5000
H 0.5000 0.0000 0.5000
H 0.5000 0.5000 0.0000

Summary:
calculated volume	64.2	Å³/f.u.

=====

Record 20
The following is a PBE calculation of a relaxed structure of Ga2Hg3H2, from Alexandria.

Unit cell a=5.0650 b=5.0749 c=6.7883 alpha=71.29 beta=70.35 gamma=66.05
Element x y z (fractional)
Ga 0.1091 0.1180 0.3163
Ga 0.8909 0.8820 0.6837
Hg 0.0000 0.0000 0.0000
Hg 0.4106 0.4037 0.7547
Hg 0.5894 0.5963 0.2453
H 0.3117 0.3199 0.2632
H 0.6883 0.6801 0.7368

Summary:
calculated volume	146.7	Å³/f.u.

=====

Number 1: uncorrected energy -36.64 eV/cell. Number 2: uncorrected energy -37.68 eV/cell. Number 3: uncorrected energy -34.33 eV/cell. Number 4: uncorrected energy -16.70 eV/cell. Number 5: uncorrected energy -17.10 eV/cell. Number 6: uncorrected energy -40.86 eV/cell. Number 7: uncorrected energy -39.33 eV/cell. Number 8: uncorrected energy -38.01 eV/cell. Number 9: uncorrected energy -33.98 eV/cell. Number 10: uncorrected energy -33.26 eV/cell. Number 11: uncorrected energy -35.87 eV/cell. Number 12: uncorrected energy -35.48 eV/cell. Number 13: uncorrected energy -36.74 eV/cell. Number 14: uncorrected energy -27.68 eV/cell. Number 15: uncorrected energy -8.59 eV/cell. Number 16: uncorrected energy -14.63 eV/cell. Number 17: uncorrected energy -5.42 eV/cell. Number 18: uncorrected energy -18.21 eV/cell. Number 19: uncorrected energy -10.78 eV/cell. Number 20: uncorrected energy -12.81 eV/cell.